{
  "formula": "Sr2TlCd6Pd",
  "functional": "PBE",
  "state": "relaxed",
  "e_form_ev_per_fu": -2.07,
  "dos_at_fermi_per_ev_fu": 5.781,
  "m_tot_mub_per_fu": 0.000,
  "dft_energy_ev_per_atom": -1.848,
  "cell": [[-1.638, 5.994, -3.714], [-4.224, -0.416, -5.865], [-12.155, 3.549, 4.033]],
  "species": ["Tl", "Cd", "Cd", "Cd", "Sr", "Pd", "Cd", "Cd", "Cd", "Cd", "Tl", "Cd", "Sr", "Sr", "Pd", "Cd", "Cd", "Cd", "Sr", "Cd"],
  "fractional_positions": [[0.574, 0.574, 0.278], [0.327, 0.928, 0.418], [0.223, 0.637, 0.918], [0.327, 0.327, 0.418], [0.722, 0.722, 0.834], [0.500, 0.500, 0.500], [0.637, 0.223, 0.918], [0.072, 0.673, 0.582], [0.928, 0.327, 0.418], [0.223, 0.223, 0.918], [0.426, 0.426, 0.722], [0.673, 0.673, 0.582], [0.103, 0.103, 0.690], [0.897, 0.897, 0.310], [0.000, 0.000, 0.000], [0.777, 0.777, 0.082], [0.777, 0.363, 0.082], [0.673, 0.072, 0.582], [0.278, 0.278, 0.166], [0.363, 0.777, 0.082]]
}